Entry 1:
The following is a PBE-GGA calculation of an optimized crystal structure of TlMo, from Alexandria via LeMat-Bulk. Values from VASP.

Cell and atoms, written as Quantum ESPRESSO input:
```
&SYSTEM
  ibrav = 0, nat = 8, ntyp = 2
/
ATOMIC_SPECIES
Tl 204.38 Tl.upf
Mo 95.94 Mo.upf
CELL_PARAMETERS angstrom
6.3982 0.0000 0.0000
0.0000 6.3982 0.0000
0.0000 0.0000 6.3982
ATOMIC_POSITIONS angstrom
Tl 0.0000 3.1991 3.1991
Tl 3.1991 3.1991 0.0000
Tl 3.1991 0.0000 3.1991
Mo 1.5995 1.5995 1.5995
Mo 1.5995 4.7986 4.7986
Mo 4.7986 4.7986 1.5995
Tl 0.0000 0.0000 0.0000
Mo 4.7986 1.5995 4.7986
```

Excess energy over the best structure of this formula in the dataset, eV per formula unit: 3.54
Total energy, eV/atom: -4.36
Energy of formation from the pure elements, eV/atom: 2.24
Crystal system: cubic

Entry 2:
The following is a PBE-GGA calculation of an optimized crystal structure of Tl3Mo, from Alexandria via LeMat-Bulk. Values from VASP.

Cell and atoms, written as Quantum ESPRESSO input:
```
&SYSTEM
  ibrav = 0, nat = 4, ntyp = 2
/
ATOMIC_SPECIES
Mo 95.94 Mo.upf
Tl 204.38 Tl.upf
CELL_PARAMETERS angstrom
-1.0791 2.2310 -1.9009
-2.4066 -1.8307 -0.7824
-5.3413 3.8131 7.5071
ATOMIC_POSITIONS angstrom
Mo 0.0000 0.0000 0.0000
Tl -2.6707 1.9066 3.7536
Tl -2.8844 1.0151 0.2627
Tl -5.9426 3.1983 4.5610
```

Excess energy over the best structure of this formula in the dataset, eV per formula unit: 0.78
Total energy, eV/atom: -3.88
Energy of formation from the pure elements, eV/atom: 0.60
Crystal system: tetragonal

Entry 3:
The following is a PBE-GGA calculation of an optimized crystal structure of Tl3Mo, from Alexandria via LeMat-Bulk. Values from VASP.

Cell and atoms, written as Quantum ESPRESSO input:
```
&SYSTEM
  ibrav = 0, nat = 4, ntyp = 2
/
ATOMIC_SPECIES
Tl 204.38 Tl.upf
Mo 95.94 Mo.upf
CELL_PARAMETERS angstrom
-0.6901 -4.1996 -3.8373
3.6536 -4.3819 0.5372
-3.4559 2.8778 3.5515
ATOMIC_POSITIONS angstrom
Tl -1.3321 -2.8063 -0.9680
Tl 0.8397 -2.8974 1.2193
Mo 0.0000 0.0000 0.0000
Tl 1.4817 -4.2907 -1.6501
```

Excess energy over the best structure of this formula in the dataset, eV per formula unit: 1.47
Total energy, eV/atom: -3.71
Energy of formation from the pure elements, eV/atom: 0.77
Crystal system: tetragonal

Entry 4:
The following is a PBE-GGA calculation of an optimized crystal structure of TlMo, from Alexandria via LeMat-Bulk. Values from VASP.

Cell and atoms, written as Quantum ESPRESSO input:
```
&SYSTEM
  ibrav = 0, nat = 4, ntyp = 2
/
ATOMIC_SPECIES
Mo 95.94 Mo.upf
Tl 204.38 Tl.upf
CELL_PARAMETERS angstrom
-0.9052 -2.7664 0.5403
4.7242 -1.7702 -1.1488
1.3754 0.5032 4.8805
ATOMIC_POSITIONS angstrom
Mo 0.0057 0.0021 0.0201
Tl 0.2560 -1.1239 2.7847
Mo 3.0500 -1.8510 3.7427
Tl 2.7996 -0.7250 0.9781
```

Excess energy over the best structure of this formula in the dataset, eV per formula unit: 0.79
Total energy, eV/atom: -5.74
Energy of formation from the pure elements, eV/atom: 0.86
Crystal system: orthorhombic

Entry 5:
The following is a PBE-GGA calculation of an optimized crystal structure of Tl2Mo, from Alexandria via LeMat-Bulk. Values from VASP.

Cell and atoms, written as Quantum ESPRESSO input:
```
&SYSTEM
  ibrav = 0, nat = 3, ntyp = 2
/
ATOMIC_SPECIES
Tl 204.38 Tl.upf
Mo 95.94 Mo.upf
CELL_PARAMETERS angstrom
-1.7608 0.6100 7.6738
-5.3922 -0.5109 5.7466
4.0648 -2.1050 -6.4348
ATOMIC_POSITIONS angstrom
Tl -4.6523 0.0645 8.7286
Mo 0.0000 0.0000 0.0000
Tl -2.5007 0.0347 4.6918
```

Excess energy over the best structure of this formula in the dataset, eV per formula unit: 1.03
Total energy, eV/atom: -4.37
Energy of formation from the pure elements, eV/atom: 0.82
Crystal system: tetragonal

Entry 6:
The following is a PBE-GGA calculation of an optimized crystal structure of TlMo, from Alexandria via LeMat-Bulk. Values from VASP.

Cell and atoms, written as Quantum ESPRESSO input:
```
&SYSTEM
  ibrav = 0, nat = 16, ntyp = 2
/
ATOMIC_SPECIES
Mo 95.94 Mo.upf
Tl 204.38 Tl.upf
CELL_PARAMETERS angstrom
-6.9317 -2.0359 -4.7570
-4.0081 -2.9167 7.0888
-3.2724 7.8848 1.3939
ATOMIC_POSITIONS angstrom
Mo -10.1674 -3.6593 2.2373
Tl -8.4218 3.3275 -0.3565
Tl -7.0058 -0.5486 -1.9456
Mo -9.5800 4.9660 -2.3101
Mo -6.4819 0.5831 2.9158
Tl -4.9005 5.1589 1.5931
Tl -7.1802 2.9534 4.6742
Tl -5.3238 -1.0553 4.8694
Mo -6.3337 2.7594 1.7684
Tl -11.1944 2.3097 2.9346
Mo -8.5378 1.7616 2.2382
Mo -7.0710 0.7606 0.5291
Mo -7.2454 4.2626 7.1490
Tl -8.7343 -1.2598 2.0620
Mo -1.4317 0.2954 0.3753
Tl -4.0882 0.8435 1.0717
```

Excess energy over the best structure of this formula in the dataset, eV per formula unit: 1.57
Total energy, eV/atom: -5.35
Energy of formation from the pure elements, eV/atom: 1.25
Crystal system: cubic

Entry 7:
The following is a PBE-GGA calculation of an optimized crystal structure of Tl3Mo, from Alexandria via LeMat-Bulk. Values from VASP.

Cell and atoms, written as Quantum ESPRESSO input:
```
&SYSTEM
  ibrav = 0, nat = 4, ntyp = 2
/
ATOMIC_SPECIES
Tl 204.38 Tl.upf
Mo 95.94 Mo.upf
CELL_PARAMETERS angstrom
5.5342 0.0147 0.0000
-1.8131 5.2288 0.0000
0.0000 0.0000 3.2576
ATOMIC_POSITIONS angstrom
Tl 2.7671 0.0073 1.6288
Tl 1.8606 2.6218 0.0000
Tl -0.9066 2.6144 1.6288
Mo 0.0000 0.0000 0.0000
```

Excess energy over the best structure of this formula in the dataset, eV per formula unit: 1.47
Total energy, eV/atom: -3.71
Energy of formation from the pure elements, eV/atom: 0.77
Crystal system: orthorhombic

Entry 8:
The following is a PBE-GGA calculation of an optimized crystal structure of Tl2Mo, from Alexandria via LeMat-Bulk. Values from VASP.

Cell and atoms, written as Quantum ESPRESSO input:
```
&SYSTEM
  ibrav = 0, nat = 6, ntyp = 2
/
ATOMIC_SPECIES
Mo 95.94 Mo.upf
Tl 204.38 Tl.upf
CELL_PARAMETERS angstrom
4.2772 -0.9319 3.4704
5.3779 1.0436 1.0934
-0.1825 6.8706 5.6258
ATOMIC_POSITIONS angstrom
Mo 4.0382 1.7084 3.2898
Tl 2.4365 6.6356 6.6433
Mo 9.5091 0.3795 4.7188
Tl 5.5692 5.0684 6.7914
Tl 6.4472 2.2062 4.8191
Tl 8.4936 3.8966 7.1717
```

Excess energy over the best structure of this formula in the dataset, eV per formula unit: 0.00
Total energy, eV/atom: -4.71
Energy of formation from the pure elements, eV/atom: 0.47
Crystal system: monoclinic